# TlCu2Re

An optimized crystal structure of TlCu2Re (GGA-PBE, Alexandria via LeMat-Bulk).

## Properties
For the calculated volume, the calculation gives 64.9 Å³/f.u. Its energy above the lowest structure with this stoichiometry is 0.391 eV per formula unit. As for the space group: No. 166. As for the density of states at the Fermi level: 4.62 states/eV/cell. The calculation puts the total energy at -5.116 eV/atom. The magnetic moment comes out at 0.00 μB per formula unit. For the formation energy, the calculation gives 636 meV per atom.

```
TlCu2Re
1.0
-7.4854 -5.2740 -0.1888
-5.9339 -6.6147 -2.2171
-5.5432 -7.2688 0.5647
Cu Re Tl
2 1 1
direct
0.9931 0.9931 0.9931
0.5069 0.5069 0.5069
0.2500 0.2500 0.2500
0.7500 0.7500 0.7500
```